[1]
Computed, not measured: a relaxed Nd2AlPd2 crystal at the PBE level of DFT.

E = -5.387 eV/atom
Space group = Ibam
Total magnetization = 0.00 Bohr magnetons per cell
DOS at the Fermi energy = 3.666 states/eV/f.u.

a b c (Å): 5.9559 7.3545 7.3573
angles (deg): 119.99 113.88 90.00
Last column: nearest neighbours and their distance in Å.
Positions (direct):
Nd: 0.3503 0.0120 0.7006  5 Pd 2.87-3.12
Nd: 0.6497 0.9880 0.2994  5 Pd 2.87-3.12
Al: 0.2500 0.5000 0.0000  4 Pd 2.60
Pd: 0.8985 0.1543 0.7970  2 Al 2.60, 1 Nd 2.87
Pd: 0.6015 0.3573 0.2030  2 Al 2.60, 1 Nd 2.87
Pd: 0.1015 0.8457 0.2030  2 Al 2.60, 1 Nd 2.87
Al: 0.7500 0.5000 0.0000  4 Pd 2.60
Nd: 0.1497 0.3114 0.2994  5 Pd 2.87-3.12
Nd: 0.8503 0.6886 0.7006  5 Pd 2.87-3.12
Pd: 0.3985 0.6427 0.7970  2 Al 2.60, 1 Nd 2.87

***

[2]
Computed, not measured: a relaxed AlIr4 crystal at the PBE level of DFT.

E = -7.115 eV/atom
Space group = Im-3m
Energy above the lowest structure with this stoichiometry = 1026 meV per atom
Total magnetization = 0.00 Bohr magnetons per cell
DOS at the Fermi energy = 7.245 states/eV/f.u.

a b c (Å): 4.7965 4.7965 4.7965
angles (deg): 109.47 109.47 109.47
Last column: nearest neighbours and their distance in Å.
Positions (direct):
Ir: 0.0000 0.0000 0.5000  2 Al 2.40
Ir: 0.5000 0.5000 0.5000  2 Al 2.40
Al: 0.0000 0.0000 0.0000  8 Ir 2.40
Ir: 0.0000 0.5000 0.0000  2 Al 2.40
Ir: 0.5000 0.0000 0.0000  2 Al 2.40

***

| no. | energy of formation from the pure elements (meV per atom) |
| --- | --- |
| 1 | -654 |
| 2 | 722 |